Record 1
A plane-wave DFT calculation with GGA-PBE was carried out for a relaxed structure of ZrV2Co2.

Summary:
- Calculated formation energy: -0.0301 eV per atom
- Energy above the most stable polymorph in this dataset: 0.53 eV/f.u.

abc: 7.1214 7.1214 2.7472
angles: 90.00 90.00 90.00
Space group P4/mbm (No. 127)
Symmetry-distinct sites (fractional):
Zr  0.0000  0.0000  0.0000
V  0.1591  0.3409  0.5000
Co  0.1282  0.6282  0.0000

---

Record 2
A plane-wave DFT calculation with GGA-PBE was carried out for a relaxed structure of TaSiP2.

Summary:
- ΔE_f (raw): 14.89 kJ/mol of atoms

abc: 3.4848 3.5230 5.0673
angles: 90.00 90.00 90.00
Space group Pmmm (No. 47)
Symmetry-distinct sites (fractional):
Ta  0.0000  0.0000  0.0000
Si  0.0000  0.5000  0.5000
P  0.5000  0.0000  0.5000
P  0.5000  0.5000  0.0000

---

Question: Which formula does entry 1 have?
Answer: ZrV2Co2

---

Copy entry 2 word for word.
A plane-wave DFT calculation with GGA-PBE was carried out for a relaxed structure of TaSiP2.

Summary:
- ΔE_f (raw): 14.89 kJ/mol of atoms

abc: 3.4848 3.5230 5.0673
angles: 90.00 90.00 90.00
Space group Pmmm (No. 47)
Symmetry-distinct sites (fractional):
Ta  0.0000  0.0000  0.0000
Si  0.0000  0.5000  0.5000
P  0.5000  0.0000  0.5000
P  0.5000  0.5000  0.0000